Computed, not measured: a relaxed structure of FeGeIO2 at the PBE+U level of DFT.

Summary:
Volume = 17.92 A^3/atom
Density of states at the Fermi level = 1.5 states/eV per cell
Electronic total energy = -4.44 eV per atom

Unit cell a=4.012 b=4.012 c=5.565 alpha=90.00 beta=90.00 gamma=90.00
Last column: magnetic moment on the atom in μB.
Atoms (fractional coordinates):
I 0.000 0.000 0.500  0.06
Ge 0.500 0.500 0.500  -0.03
Fe 0.000 0.000 0.000  4.09
O 0.000 0.500 0.000  0.30
O 0.500 0.000 0.000  0.30